Entry 1:
# H3S2I2 PBE relaxed
data_H3S2I2
_chemical_formula_sum 'H3 S2 I2'
_cell_length_a 14.2131
_cell_length_b 5.6365
_cell_length_c 4.5505
_cell_angle_alpha 51.97
_cell_angle_beta 60.75
_cell_angle_gamma 100.97
_symmetry_space_group_name_H-M 'P 1'
_symmetry_Int_Tables_number 1
_symmetry_space_group_name_Hall 'P 1'
loop_
_atom_site_label
_atom_site_type_symbol
_atom_site_fract_x
_atom_site_fract_y
_atom_site_fract_z
_atom_site_occupancy
H1 H 0.0000 0.0000 0.0000 1
H2 H 0.1287 0.5401 0.0406 1
H3 H 0.8713 0.4599 0.9594 1
S1 S 0.9785 0.1882 0.6038 1
S2 S 0.0215 0.8118 0.3962 1
I1 I 0.3555 0.2843 0.7873 1
I2 I 0.6445 0.7157 0.2127 1
# Energy above the lowest structure with this stoichiometry, kcal/mol of atoms: 0.00
# Calculated density, g/cm³: 3.04
# Total energy, eV per atom: -3.005

***

Entry 2:
# HSI PBE relaxed
data_HSI
_chemical_formula_sum 'H2 S2 I2'
_cell_length_a 4.8175
_cell_length_b 5.6533
_cell_length_c 8.4187
_cell_angle_alpha 101.17
_cell_angle_beta 101.28
_cell_angle_gamma 108.81
_symmetry_space_group_name_H-M 'P 1'
_symmetry_Int_Tables_number 1
_symmetry_space_group_name_Hall 'P 1'
loop_
_atom_site_label
_atom_site_type_symbol
_atom_site_fract_x
_atom_site_fract_y
_atom_site_fract_z
_atom_site_occupancy
H1 H 0.9979 0.2199 0.8964 1
H2 H 0.7487 0.6505 0.6651 1
S1 S 0.9529 0.1608 0.7266 1
S2 S 0.5911 0.8107 0.6590 1
I1 I 0.7241 0.6847 0.1102 1
I2 I 0.7884 0.2600 0.2204 1
# Energy above the lowest structure with this stoichiometry, kcal/mol of atoms: 0.86
# Calculated density, g/cm³: 2.60
# Total energy, eV per atom: -3.020

***

Entry 3:
# HSI PBE relaxed
data_HSI
_chemical_formula_sum 'H1 S1 I1'
_cell_length_a 4.9874
_cell_length_b 5.0556
_cell_length_c 5.1804
_cell_angle_alpha 104.34
_cell_angle_beta 104.15
_cell_angle_gamma 119.46
_symmetry_space_group_name_H-M 'P 1'
_symmetry_Int_Tables_number 1
_symmetry_space_group_name_Hall 'P 1'
loop_
_atom_site_label
_atom_site_type_symbol
_atom_site_fract_x
_atom_site_fract_y
_atom_site_fract_z
_atom_site_occupancy
H1 H 0.4305 0.5539 0.9618 1
S1 S 0.5507 0.7282 0.8071 1
I1 I 0.1856 0.2015 0.3183 1
# Energy above the lowest structure with this stoichiometry, kcal/mol of atoms: 1.49
# Calculated density, g/cm³: 2.68
# Total energy, eV per atom: -2.993

***

Entry 4:
# HS3I PBE relaxed
data_HS3I
_chemical_formula_sum 'H2 S6 I2'
_cell_length_a 8.8154
_cell_length_b 5.4703
_cell_length_c 8.4133
_cell_angle_alpha 125.42
_cell_angle_beta 90.01
_cell_angle_gamma 89.99
_symmetry_space_group_name_H-M 'P 1'
_symmetry_Int_Tables_number 1
_symmetry_space_group_name_Hall 'P 1'
loop_
_atom_site_label
_atom_site_type_symbol
_atom_site_fract_x
_atom_site_fract_y
_atom_site_fract_z
_atom_site_occupancy
H1 H 0.0263 0.8084 0.3384 1
H2 H 0.5259 0.0932 0.3088 1
S1 S 0.5254 0.3090 0.9045 1
S2 S 0.4476 0.9181 0.3466 1
S3 S 0.0830 0.3589 0.4537 1
S4 S 0.0255 0.5926 0.7427 1
S5 S 0.9478 0.9833 0.3007 1
S6 S 0.5829 0.5427 0.1936 1
I1 I 0.2960 0.9924 0.8417 1
I2 I 0.7960 0.9091 0.8054 1
# Energy above the lowest structure with this stoichiometry, kcal/mol of atoms: 0.00
# Calculated density, g/cm³: 2.25
# Total energy, eV per atom: -3.449

***

Entry 5:
# HSI2 PBE relaxed
data_HSI2
_chemical_formula_sum 'H4 S4 I8'
_cell_length_a 4.6827
_cell_length_b 6.8958
_cell_length_c 20.6452
_cell_angle_alpha 123.54
_cell_angle_beta 90.00
_cell_angle_gamma 90.00
_symmetry_space_group_name_H-M 'P 1'
_symmetry_Int_Tables_number 1
_symmetry_space_group_name_Hall 'P 1'
loop_
_atom_site_label
_atom_site_type_symbol
_atom_site_fract_x
_atom_site_fract_y
_atom_site_fract_z
_atom_site_occupancy
H1 H 0.2210 0.1543 0.2925 1
H2 H 0.7210 0.3457 0.2075 1
H3 H 0.7790 0.8457 0.7075 1
H4 H 0.2790 0.6543 0.7925 1
S1 S 0.7408 0.2204 0.1288 1
S2 S 0.2408 0.2796 0.3712 1
S3 S 0.2592 0.7796 0.8712 1
S4 S 0.7592 0.7204 0.6288 1
I1 I 0.4281 0.3978 0.6277 1
I2 I 0.9281 0.1022 0.8723 1
I3 I 0.5719 0.6022 0.3723 1
I4 I 0.0719 0.8978 0.1277 1
I5 I 0.0734 0.0248 0.6211 1
I6 I 0.5734 0.4752 0.8789 1
I7 I 0.9266 0.9752 0.3789 1
I8 I 0.4266 0.5248 0.1211 1
# Energy above the lowest structure with this stoichiometry, kcal/mol of atoms: 0.00
# Calculated density, g/cm³: 3.43
# Total energy, eV per atom: -2.566

***

Entry 6:
# HSI2 PBE relaxed
data_HSI2
_chemical_formula_sum 'H2 S2 I4'
_cell_length_a 6.8568
_cell_length_b 6.8568
_cell_length_c 6.3422
_cell_angle_alpha 57.28
_cell_angle_beta 57.28
_cell_angle_gamma 90.00
_symmetry_space_group_name_H-M 'P 1'
_symmetry_Int_Tables_number 1
_symmetry_space_group_name_Hall 'P 1'
loop_
_atom_site_label
_atom_site_type_symbol
_atom_site_fract_x
_atom_site_fract_y
_atom_site_fract_z
_atom_site_occupancy
I1 I 0.5672 0.1250 0.2500 1
I2 I 0.1828 0.6250 0.2500 1
I3 I 0.3750 0.4328 0.7500 1
I4 I 0.8750 0.8172 0.7500 1
H1 H 0.5000 0.5000 0.0000 1
H2 H 0.2500 0.7500 0.5000 1
S1 S 0.0000 0.0000 0.0000 1
S2 S 0.7500 0.2500 0.5000 1
# Energy above the lowest structure with this stoichiometry, kcal/mol of atoms: 17.19
# Calculated density, g/cm³: 4.96
# Total energy, eV per atom: -1.820

***

Entry 7:
# H2SI2 PBE relaxed
data_H2SI2
_chemical_formula_sum 'H4 S2 I4'
_cell_length_a 3.0934
_cell_length_b 10.6234
_cell_length_c 14.1037
_cell_angle_alpha 128.38
_cell_angle_beta 90.00
_cell_angle_gamma 98.37
_symmetry_space_group_name_H-M 'P 1'
_symmetry_Int_Tables_number 1
_symmetry_space_group_name_Hall 'P 1'
loop_
_atom_site_label
_atom_site_type_symbol
_atom_site_fract_x
_atom_site_fract_y
_atom_site_fract_z
_atom_site_occupancy
H1 H 0.2553 0.5106 0.3856 1
H2 H 0.6677 0.3354 0.2694 1
H3 H 0.7447 0.4894 0.6144 1
H4 H 0.3323 0.6646 0.7306 1
S1 S 0.7504 0.5008 0.3434 1
S2 S 0.2496 0.4992 0.6566 1
I1 I 0.0040 0.0079 0.6255 1
I2 I 0.0059 0.0118 0.8771 1
I3 I 0.9960 0.9921 0.3745 1
I4 I 0.9941 0.9882 0.1229 1
# Energy above the lowest structure with this stoichiometry, kcal/mol of atoms: 0.00
# Calculated density, g/cm³: 2.68
# Total energy, eV per atom: -2.744

***

Entry 8:
# H3SI2 PBE relaxed
data_H3SI2
_chemical_formula_sum 'H6 S2 I4'
_cell_length_a 7.5124
_cell_length_b 7.0216
_cell_length_c 7.0216
_cell_angle_alpha 118.69
_cell_angle_beta 90.00
_cell_angle_gamma 90.00
_symmetry_space_group_name_H-M 'P 1'
_symmetry_Int_Tables_number 1
_symmetry_space_group_name_Hall 'P 1'
loop_
_atom_site_label
_atom_site_type_symbol
_atom_site_fract_x
_atom_site_fract_y
_atom_site_fract_z
_atom_site_occupancy
H1 H 0.0263 0.6805 0.5210 1
H2 H 0.5263 0.4790 0.3195 1
H3 H 0.0263 0.5210 0.6805 1
H4 H 0.5263 0.3195 0.4790 1
H5 H 0.3399 0.2486 0.2486 1
H6 H 0.8399 0.7514 0.7514 1
S1 S 0.0230 0.7464 0.7464 1
S2 S 0.5230 0.2536 0.2536 1
I1 I 0.5213 0.8541 0.5849 1
I2 I 0.0213 0.4151 0.1459 1
I3 I 0.5213 0.5849 0.8541 1
I4 I 0.0213 0.1459 0.4151 1
# Calculated density, g/cm³: 2.95
# Total energy, eV per atom: -2.876

***

Entry 9:
# HS6I PBE relaxed
data_HS6I
_chemical_formula_sum 'H1 S6 I1'
_cell_length_a 7.5221
_cell_length_b 7.5221
_cell_length_c 20.1176
_cell_angle_alpha 39.58
_cell_angle_beta 39.58
_cell_angle_gamma 23.18
_symmetry_space_group_name_H-M 'P 1'
_symmetry_Int_Tables_number 1
_symmetry_space_group_name_Hall 'P 1'
loop_
_atom_site_label
_atom_site_type_symbol
_atom_site_fract_x
_atom_site_fract_y
_atom_site_fract_z
_atom_site_occupancy
H1 H 0.0000 0.0000 0.0000 1
S1 S 0.2106 0.2106 0.7680 1
S2 S 0.5782 0.5782 0.8901 1
S3 S 0.1696 0.1696 0.0429 1
S4 S 0.4218 0.4218 0.1099 1
S5 S 0.7894 0.7894 0.2320 1
S6 S 0.8304 0.8304 0.9571 1
I1 I 0.0000 0.0000 0.5000 1
# Calculated density, g/cm³: 1.92
# Total energy, eV per atom: -3.287

***

Entry 10:
# H3SI PBE relaxed
data_H3SI
_chemical_formula_sum 'H6 S2 I2'
_cell_length_a 8.5745
_cell_length_b 8.5745
_cell_length_c 8.5745
_cell_angle_alpha 38.35
_cell_angle_beta 38.35
_cell_angle_gamma 38.35
_symmetry_space_group_name_H-M 'P 1'
_symmetry_Int_Tables_number 1
_symmetry_space_group_name_Hall 'P 1'
loop_
_atom_site_label
_atom_site_type_symbol
_atom_site_fract_x
_atom_site_fract_y
_atom_site_fract_z
_atom_site_occupancy
H1 H 0.9351 0.9351 0.3005 1
H2 H 0.3005 0.9351 0.9351 1
H3 H 0.9351 0.3005 0.9351 1
H4 H 0.4351 0.8005 0.4351 1
H5 H 0.8005 0.4351 0.4351 1
H6 H 0.4351 0.4351 0.8005 1
S1 S 0.0248 0.0248 0.0248 1
S2 S 0.5248 0.5248 0.5248 1
I1 I 0.7761 0.7761 0.7761 1
I2 I 0.2761 0.2761 0.2761 1
# Energy above the lowest structure with this stoichiometry, kcal/mol of atoms: 0.00
# Calculated density, g/cm³: 2.47
# Total energy, eV per atom: -3.289

***

Entry 11:
# H2SI3 PBE relaxed
data_H2SI3
_chemical_formula_sum 'H4 S2 I6'
_cell_length_a 8.6695
_cell_length_b 8.6694
_cell_length_c 7.9086
_cell_angle_alpha 117.52
_cell_angle_beta 89.36
_cell_angle_gamma 126.07
_symmetry_space_group_name_H-M 'P 1'
_symmetry_Int_Tables_number 1
_symmetry_space_group_name_Hall 'P 1'
loop_
_atom_site_label
_atom_site_type_symbol
_atom_site_fract_x
_atom_site_fract_y
_atom_site_fract_z
_atom_site_occupancy
H1 H 0.4139 0.9286 0.6620 1
H2 H 0.7334 0.7482 0.1620 1
H3 H 0.2666 0.2518 0.8380 1
H4 H 0.5861 0.0714 0.3380 1
S1 S 0.3131 0.0631 0.7500 1
S2 S 0.6869 0.9369 0.2500 1
I1 I 0.9899 0.2399 0.2500 1
I2 I 0.0101 0.7601 0.7500 1
I3 I 0.7964 0.5629 0.0663 1
I4 I 0.4965 0.2300 0.4337 1
I5 I 0.5035 0.7700 0.5663 1
I6 I 0.2036 0.4371 0.9337 1
# Calculated density, g/cm³: 3.47
# Total energy, eV per atom: -2.406

***

Entry 12:
# HS4I PBE relaxed
data_HS4I
_chemical_formula_sum 'H2 S8 I2'
_cell_length_a 15.0058
_cell_length_b 8.3791
_cell_length_c 10.1781
_cell_angle_alpha 47.77
_cell_angle_beta 117.77
_cell_angle_gamma 149.44
_symmetry_space_group_name_H-M 'P 1'
_symmetry_Int_Tables_number 1
_symmetry_space_group_name_Hall 'P 1'
loop_
_atom_site_label
_atom_site_type_symbol
_atom_site_fract_x
_atom_site_fract_y
_atom_site_fract_z
_atom_site_occupancy
H1 H 0.5218 0.9134 0.3557 1
H2 H 0.4782 0.0866 0.6443 1
S1 S 0.5636 0.4968 0.8193 1
S2 S 0.3310 0.0012 0.3816 1
S3 S 0.6956 0.1499 0.3625 1
S4 S 0.2288 0.3427 0.1132 1
S5 S 0.7712 0.6573 0.8868 1
S6 S 0.3044 0.8501 0.6375 1
S7 S 0.6690 0.9988 0.6184 1
S8 S 0.4364 0.5032 0.1807 1
I1 I 0.1287 0.2743 0.3077 1
I2 I 0.8713 0.7257 0.6923 1
# Calculated density, g/cm³: 1.85
# Total energy, eV per atom: -3.550

***

Q: Which of these has the highest total energy?
A: number 6